VASP calculation (PBE) on a relaxed Cu2Ag crystal.

abc: 16.540 16.540 16.540
angles: 170.43 170.43 13.54
Fractional coordinates of all 9 atoms:
Cu1 0.059 0.059 0.000
Cu2 0.177 0.177 0.000
Cu3 0.275 0.275 0.000
Cu4 0.725 0.725 0.000
Cu5 0.823 0.823 0.000
Cu6 0.941 0.941 0.000
Ag1 0.383 0.383 0.000
Ag2 0.500 0.500 0.000
Ag3 0.617 0.617 0.000

- excess energy over the best structure of this formula in the dataset (eV per formula unit) = 0.10
- volume (Å³/atom) = 13.9
- E_form (meV per atom) = 78
- ρ (g/cm3) = 9.37
- DFT total energy (eV per atom) = -3.34